No. 1
# PBE Rb2HgHAu, optimized geometry
data_Rb2HgHAu
_cell_length_a 8.478
_cell_length_b 4.421
_cell_length_c 8.997
_cell_angle_alpha 90.00
_cell_angle_beta 107.65
_cell_angle_gamma 90.00
_symmetry_space_group_name_H-M 'P 1 21/m 1'
_symmetry_Int_Tables_number 11
loop_
_symmetry_equiv_pos_as_xyz
'x,y,z'
'-x,-y,-z'
'-x,y+1/2,-z'
'x,-y+1/2,z'
loop_
_atom_site_label
_atom_site_type_symbol
_atom_site_fract_x
_atom_site_fract_y
_atom_site_fract_z
Rb1 Rb 0.128 0.250 0.368
Rb2 Rb 0.235 0.250 0.987
Hg1 Hg 0.471 0.750 0.349
H1 H 0.125 0.750 0.157
Au1 Au 0.312 0.750 0.698
# E above lowest polymorph: 0.0 meV/atom
# Total moment: 0.000 Bohr magnetons per cell
# Final energy: -1.94 eV/atom

No. 2
# PBE Rb6Hg2HAu, optimized geometry
data_Rb6Hg2HAu
_cell_length_a 7.798
_cell_length_b 8.118
_cell_length_c 8.167
_cell_angle_alpha 62.80
_cell_angle_beta 80.02
_cell_angle_gamma 81.58
_symmetry_space_group_name_H-M 'P 1'
_symmetry_Int_Tables_number 1
loop_
_symmetry_equiv_pos_as_xyz
'x,y,z'
loop_
_atom_site_label
_atom_site_type_symbol
_atom_site_fract_x
_atom_site_fract_y
_atom_site_fract_z
Rb1 Rb 0.000 0.000 0.000
Rb2 Rb 0.013 0.509 0.525
Rb3 Rb 0.329 0.188 0.221
Rb4 Rb 0.350 0.694 0.738
Rb5 Rb 0.520 0.203 0.693
Rb6 Rb 0.824 0.487 0.059
Hg1 Hg 0.435 0.716 0.226
Hg2 Hg 0.904 0.980 0.512
H1 H 0.173 0.347 0.872
Au1 Au 0.672 0.849 0.365
# Total moment: 0.000 Bohr magnetons per cell
# Final energy: -1.44 eV/atom

No. 3
# PBE Rb2HgHAu, optimized geometry
data_Rb2HgHAu
_cell_length_a 6.390
_cell_length_b 6.390
_cell_length_c 3.758
_cell_angle_alpha 90.00
_cell_angle_beta 90.00
_cell_angle_gamma 90.00
_symmetry_space_group_name_H-M 'P 4/m m m'
_symmetry_Int_Tables_number 123
_symmetry_space_group_name_Hall '-P 4 2'
loop_
_atom_site_label
_atom_site_type_symbol
_atom_site_fract_x
_atom_site_fract_y
_atom_site_fract_z
Rb1 Rb 0.000 0.500 0.000
Hg1 Hg 0.000 0.000 0.500
H1 H 0.500 0.500 0.000
Au1 Au 0.500 0.500 0.500
# E above lowest polymorph: 4.2 meV/atom
# Total moment: 0.000 Bohr magnetons per cell
# Final energy: -1.93 eV/atom